A geometry-optimized NdEr3Al structure. Source: Alexandria via LeMat-Bulk, functional GGA-PBE.

Results
Space-group type = C2/c (15)
Crystal system = monoclinic
Size of the total moment = 0.0 μB per formula unit
Total energy = -4.47 eV per atom
Volume = 30.00 Å³/atom
Formation energy from the elements = -3.0 kJ/mol of atoms
Excess energy over the best structure of this formula in the dataset = 106 meV/atom

Unit cell a=10.037 b=10.037 c=6.825 alpha=98.45 beta=98.45 gamma=62.35
Atoms (fractional coordinates):
Nd: 0.040 0.960 0.750
Nd: 0.357 0.643 0.250
Nd: 0.643 0.357 0.750
Nd: 0.960 0.040 0.250
Er: 0.001 0.337 0.590
Er: 0.002 0.668 0.915
Er: 0.311 0.316 0.899
Er: 0.316 0.311 0.399
Er: 0.332 0.998 0.585
Er: 0.337 0.001 0.090
Er: 0.663 0.999 0.910
Er: 0.668 0.002 0.415
Er: 0.684 0.689 0.601
Er: 0.689 0.684 0.101
Er: 0.998 0.332 0.085
Er: 0.999 0.663 0.410
Al: 0.275 0.579 0.691
Al: 0.421 0.725 0.809
Al: 0.579 0.275 0.191
Al: 0.725 0.421 0.309